# Pm5Mo2O12 | Alexandria via LeMat-Bulk | PBE+U | relaxed
# E_tot (eV for the cell shown): -304.7
# Total magnetization (Bohr magnetons per cell): 6.00
data_Pm5Mo2O12
_chemical_formula_sum 'Pm10 Mo4 O24'
_cell_length_a 12.704
_cell_length_b 6.146
_cell_length_c 7.556
_cell_angle_alpha 90.00
_cell_angle_beta 107.26
_cell_angle_gamma 90.00
_symmetry_space_group_name_H-M 'C 1 2/m 1'
_symmetry_Int_Tables_number 12
loop_
_symmetry_equiv_pos_as_xyz
'x,y,z'
'-x,-y,-z'
'-x,y,-z'
'x,-y,z'
'x+1/2,y+1/2,z'
'-x+1/2,-y+1/2,-z'
'-x+1/2,y+1/2,-z'
'x+1/2,-y+1/2,z'
loop_
_atom_site_label
_atom_site_type_symbol
_atom_site_fract_x
_atom_site_fract_y
_atom_site_fract_z
Pm1 Pm 0.000 0.000 0.000
Pm2 Pm 0.193 0.500 0.330
Pm3 Pm 0.197 0.500 0.861
Mo1 Mo 0.000 0.244 0.500
O1 O 0.000 0.000 0.319
O2 O 0.001 0.500 0.317
O3 O 0.154 0.249 0.076
O4 O 0.163 0.267 0.582